Material: K2TaCrO6
Method: DFT, GGA+U
State: optimized geometry

Lattice parameters (Å, degrees): 7.9302 7.9302 7.9302 90.00 90.00 90.00
Space group Fm-3m (No. 225)
Symmetry-distinct sites (fractional):
K: 0.2500 0.2500 0.2500 x8
Ta: 0.0000 0.0000 0.0000 x4
Cr: 0.0000 0.0000 0.5000 x4
O: 0.0000 0.0000 0.2524 x24

Volume ... 498.7 Å³ per cell
Energy ... -7.0960 eV/atom